Density functional theory data (GGA-PBE) for an optimized crystal structure of In2TcAg.

abc: 9.3101 2.9397 5.6994
angles: 90.00 100.18 90.00
Last column: nearest neighbours and their distance in Å.
Space group C2/m (No. 12)
One atom of each set of equivalent atoms:
In 0.2461 0.0000 0.2400 x4  3 Tc 2.86-2.93, 4 In 2.94-3.12, 3 Ag 2.94-2.95
Tc 0.0000 0.5000 0.0000 x2  6 In 2.86-2.93, 2 Tc 2.94
Ag 0.0000 0.0000 0.5000 x2  2 Ag 2.94, 6 In 2.94-2.95, 4 Tc 3.21

## Properties
- V: 153.53 Å³ per cell
- Energy of formation from the pure elements: 33 kJ/mol of atoms
- Theoretical density: 9.421 Mg/m³
- Crystal system: monoclinic

***

Density functional theory data (GGA-PBE) for an optimized crystal structure of InTc2Ag.

abc: 4.1832 4.1832 7.5775
angles: 90.00 90.00 90.00
Last column: nearest neighbours and their distance in Å.
Space group I-4m2 (No. 119)
One atom of each set of equivalent atoms:
In 0.0000 0.0000 0.0000 x2  8 Tc 2.82-2.96, 4 Ag 2.82
Tc 0.0000 0.0000 0.5000 x2  4 Tc 2.82, 4 Ag 2.82, 4 In 2.96
Tc 0.0000 0.5000 0.7500 x2  4 In 2.82, 4 Tc 2.82, 4 Ag 2.96
Ag 0.0000 0.5000 0.2500 x2  4 In 2.82, 8 Tc 2.82-2.96

## Properties
- V: 132.60 Å³ per cell
- Energy of formation from the pure elements: 40 kJ/mol of atoms
- Theoretical density: 10.486 Mg/m³
- Crystal system: tetragonal

***

Density functional theory data (GGA-PBE) for an optimized crystal structure of InTcAg2W.

abc: 4.9360 4.9360 5.0027
angles: 90.00 90.00 90.00
Last column: nearest neighbours and their distance in Å.
Space group P4/mmm (No. 123)
One atom of each set of equivalent atoms:
In 0.0000 0.0000 0.0000 x1  2 Tc 2.50
Tc 0.0000 0.0000 0.5000 x1  4 Ag 2.47, 2 In 2.50
Ag 0.0000 0.5000 0.5000 x2  2 Tc 2.47
W 0.5000 0.5000 0.0000 x1  4 In 3.49, 8 Ag 3.51

## Properties
- V: 121.89 Å³ per cell
- Energy of formation from the pure elements: 203 kJ/mol of atoms
- Theoretical density: 8.343 Mg/m³
- Crystal system: tetragonal

***

Density functional theory data (GGA-PBE) for an optimized crystal structure of ZnInTcAg2.

abc: 5.1258 5.1258 4.8733
angles: 90.00 90.00 90.00
Last column: nearest neighbours and their distance in Å.
Space group P4/mmm (No. 123)
One atom of each set of equivalent atoms:
Zn 0.0000 0.0000 0.0000 x1  2 In 2.44
In 0.0000 0.0000 0.5000 x1  2 Zn 2.44, 4 Ag 2.56
Tc 0.5000 0.5000 0.0000 x1  8 Ag 3.54, 4 Zn 3.62
Ag 0.0000 0.5000 0.5000 x2  2 In 2.56

## Properties
- V: 128.04 Å³ per cell
- Energy of formation from the pure elements: 128 kJ/mol of atoms
- Theoretical density: 6.406 Mg/m³
- Crystal system: tetragonal

***

Density functional theory data (GGA-PBE) for an optimized crystal structure of InAgTe.

abc: 4.1913 4.1913 9.0306
angles: 90.00 90.00 90.00
Last column: nearest neighbours and their distance in Å.
Space group I4mm (No. 107)
One atom of each set of equivalent atoms:
In 0.0000 0.0000 0.0000 x2  1 Ag 2.96, 5 Te 3.14-3.27
Ag 0.0000 0.0000 0.6717 x2  1 Te 2.93, 1 In 2.96
Te 0.0000 0.0000 0.3472 x2  1 Ag 2.93, 5 In 3.14-3.27

## Properties
- V: 158.64 Å³ per cell
- Formation energy (no corrections): 0.04 eV per atom
- Theoretical density: 7.333 Mg/m³
- Crystal system: tetragonal

***

Density functional theory data (GGA-PBE) for an optimized crystal structure of In2AgTe.

abc: 4.2590 4.2590 21.6137
angles: 90.00 90.00 120.00
Last column: nearest neighbours and their distance in Å.
Space group R3m (No. 160, hexagonal axes)
One atom of each set of equivalent atoms:
In 0.0000 0.0000 0.0000 x3  3 Ag 2.93, 3 Te 3.19
In 0.0000 0.0000 0.1841 x3  3 Ag 2.95, 3 Te 3.14
Ag 0.0000 0.0000 0.5930 x3  6 In 2.93-2.95
Te 0.0000 0.0000 0.4274 x3  6 In 3.14-3.19

## Properties
- V: 339.53 Å³ per cell
- Formation energy (no corrections): -0.06 eV per atom
- Theoretical density: 6.824 Mg/m³
- Crystal system: trigonal

***

| no. | DOS(E_F) (states/eV/f.u.) |
| --- | --- |
| 1 | 2.7 |
| 2 | 3.6 |
| 3 | 5.3 |
| 4 | 3.8 |
| 5 | 0.9 |
| 6 | 0.9 |